The following is a DFT calculation (PBE-GGA) of a relaxed structure of ReMo4P.

Output
* theoretical density: 10.31 g cm⁻³
* formation energy from the elements: 658 meV per atom
* volume: 16.14 A^3/atom
* electronic total energy: -57.2 eV/cell

Unit cell a=5.1544 b=5.1544 c=5.1544 alpha=60.00 beta=60.00 gamma=60.00
Closest atoms and distances in Å follow each position.
Fractional coordinates of all 6 atoms:
Re 0.0000 0.0000 0.0000  12 Mo 3.02, 4 P 3.16
Mo 0.3760 0.3760 0.3760  6 Mo 2.56-2.60
Mo 0.3760 0.3760 0.8721  6 Mo 2.56-2.60
Mo 0.3760 0.8721 0.3760  6 Mo 2.56-2.60
Mo 0.8721 0.3760 0.3760  6 Mo 2.56-2.60
P 0.7500 0.7500 0.7500  12 Mo 3.02, 4 Re 3.16



The following is a DFT calculation (PBE-GGA) of a relaxed structure of Ba4SrO5.

Output
* theoretical density: 5.61 g cm⁻³
* volume: 21.20 A^3/atom
* formation energy without anion corrections: -2.51 eV/atom
* electronic total energy: -59.2 eV/cell

Unit cell a=6.7860 b=6.7860 c=6.7860 alpha=99.51 beta=99.51 gamma=132.04
Closest atoms and distances in Å follow each position.
Fractional coordinates of all 10 atoms:
Ba 0.1015 0.2969 0.3984  6 O 2.75-2.92
Ba 0.2969 0.8985 0.1954  6 O 2.75-2.92
Ba 0.7031 0.1015 0.8046  6 O 2.75-2.92
Ba 0.8985 0.7031 0.6016  6 O 2.75-2.92
Sr 0.5021 0.5021 0.0000  6 O 2.65-2.80
O 0.2128 0.5949 0.8097  1 Sr 2.65, 5 Ba 2.75-2.92
O 0.4031 0.2128 0.6179  1 Sr 2.65, 5 Ba 2.75-2.92
O 0.5949 0.7852 0.3821  1 Sr 2.65, 5 Ba 2.75-2.92
O 0.7852 0.4031 0.1903  1 Sr 2.65, 5 Ba 2.75-2.92
O 0.9946 0.9946 0.0000  2 Sr 2.72-2.80, 4 Ba 2.75



The following is a DFT calculation (PBE-GGA) of a relaxed structure of LaSiCl.

Output
* theoretical density: 4.39 g cm⁻³
* volume: 25.52 A^3/atom
* formation energy without anion corrections: -0.63 eV/atom
* electronic total energy: -14.1 eV/cell

Unit cell a=4.8933 b=4.8933 c=3.6915 alpha=90.00 beta=90.00 gamma=120.00
Closest atoms and distances in Å follow each position.
Fractional coordinates of all 3 atoms:
La 0.0000 0.0000 0.0000  3 Cl 2.83
Si 0.6667 0.3333 0.5000  6 La 3.37, 6 Cl 3.37, 2 Si 3.69
Cl 0.3333 0.6667 0.0000  3 La 2.83